No. 1
Computed, not measured: crystalline DyHoCd4 at its relaxed geometry at the PBE-GGA level of DFT.

Lattice parameters (Å, degrees): 13.026 3.377 6.873 90.00 105.23 90.00
Space group C2/m (No. 12)
Asymmetric unit:
Dy 0.000 0.000 0.000 x2
Ho 0.000 0.000 0.500 x2
Cd 0.173 0.500 0.337 x4
Cd 0.174 0.500 0.836 x4

The total energy comes out at -28.39 eV per cell. The calculation puts the formation energy at -226 meV/atom. The energy above the most stable polymorph in this dataset is 88 meV/atom.


No. 2
Computed, not measured: crystalline SiHg2Ru at its relaxed geometry at the PBE-GGA level of DFT.

Lattice parameters (Å, degrees): 8.300 3.038 8.288 90.00 119.86 90.00
Space group Cm (No. 8)
Asymmetric unit:
Si 0.000 0.000 0.000 x2
Hg 0.086 0.500 0.675 x2
Hg 0.411 0.500 0.326 x2
Ru 0.286 0.000 0.000 x2

The total energy comes out at -29.69 eV per cell.


No. 3
Computed, not measured: crystalline KZrMo2 at its relaxed geometry at the PBE-GGA level of DFT.

Lattice parameters (Å, degrees): 2.9065 2.9065 34.0669 90.00 90.00 120.00
Space group R-3m (No. 166, hexagonal axes)
Asymmetric unit:
K 0.0000 0.0000 0.0000 x3
Zr 0.0000 0.0000 0.5000 x3
Mo 0.0000 0.0000 0.2423 x6

The total energy comes out at -82.41 eV per cell. The calculation puts the formation energy at 959 meV/atom. The energy above the most stable polymorph in this dataset is 405 meV/atom.


No. 4
Computed, not measured: crystalline CaPm2Pb5 at its relaxed geometry at the PBE-GGA level of DFT.

Lattice parameters (Å, degrees): 8.082 8.082 7.410 90.00 90.00 90.00
Space group I4mm (No. 107)
Asymmetric unit:
Ca 0.000 0.000 0.000 x2
Pm 0.000 0.500 0.499 x4
Pb 0.000 0.000 0.499 x2
Pb 0.250 0.250 0.249 x8

The total energy comes out at -66.46 eV per cell. The calculation puts the formation energy at -398 meV/atom.


No. 5
Computed, not measured: crystalline Cs6Ag2HgO at its relaxed geometry at the PBE-GGA level of DFT.

Lattice parameters (Å, degrees): 8.773 9.821 14.282 90.00 120.90 90.00
Space group P2_1/c (No. 14)
Asymmetric unit:
Cs 0.076 0.055 0.216 x4
Cs 0.206 0.732 0.074 x4
Cs 0.328 0.144 0.049 x4
Ag 0.306 0.102 0.754 x4
Hg 0.500 0.000 0.500 x2
O 0.000 0.000 0.000 x2

The total energy comes out at -38.09 eV per cell.


No. 6
Computed, not measured: crystalline TmZnGeAu at its relaxed geometry at the PBE-GGA level of DFT.

Lattice parameters (Å, degrees): 6.777 6.777 6.777 90.00 90.00 90.00
Space group F-43m (No. 216)
Asymmetric unit:
Tm 0.000 0.000 0.000 x4
Zn 0.000 0.000 0.500 x4
Ge 0.250 0.250 0.750 x4
Au 0.250 0.250 0.250 x4

The total energy comes out at -61.98 eV per cell. The calculation puts the formation energy at -464 meV/atom.


No. 7
Computed, not measured: crystalline Tb3PmTh4Se8 at its relaxed geometry at the PBE-GGA level of DFT.

Lattice parameters (Å, degrees): 8.1661 8.1661 21.1630 90.00 90.00 120.00
Space group R-3m (No. 166, hexagonal axes)
Asymmetric unit:
Tb 0.0000 0.5000 0.0000 x9
Pm 0.0000 0.0000 0.0000 x3
Th 0.0000 0.0000 0.5000 x3
Th 0.0000 0.5000 0.5000 x9
Se 0.0000 0.0000 0.2546 x6
Se 0.0040 0.5020 0.2537 x18

The total energy comes out at -308.32 eV per cell.


No. 8
Computed, not measured: crystalline LiTa2TlTc at its relaxed geometry at the PBE-GGA level of DFT.

Lattice parameters (Å, degrees): 4.473 4.473 4.259 90.00 90.00 90.00
Space group P4/mmm (No. 123)
Asymmetric unit:
Li 0.000 0.000 0.000 x1
Ta 0.000 0.500 0.000 x2
Tl 0.500 0.500 0.500 x1
Tc 0.000 0.000 0.500 x1

The total energy comes out at -32.98 eV per cell. The calculation puts the formation energy at 1074 meV/atom. The energy above the most stable polymorph in this dataset is 0 meV/atom.


No. 9
Computed, not measured: crystalline Y2NiPt at its relaxed geometry at the PBE-GGA level of DFT.

Lattice parameters (Å, degrees): 5.555 4.301 7.689 90.00 110.32 90.00
Space group P2_1/m (No. 11)
Asymmetric unit:
Y 0.217 0.250 0.430 x2
Y 0.220 0.250 0.929 x2
Ni 0.344 0.750 0.709 x2
Pt 0.347 0.750 0.213 x2

The total energy comes out at -56.35 eV per cell. The calculation puts the formation energy at -856 meV/atom.


No. 10
Computed, not measured: crystalline PrNdHg2 at its relaxed geometry at the PBE-GGA level of DFT.

Lattice parameters (Å, degrees): 3.8707 3.8707 28.7536 90.00 90.00 120.00
Space group R-3m (No. 166, hexagonal axes)
Asymmetric unit:
Pr 0.0000 0.0000 0.0000 x3
Nd 0.0000 0.0000 0.5000 x3
Hg 0.0000 0.0000 0.2492 x6

The total energy comes out at -34.22 eV per cell. The calculation puts the formation energy at -314 meV/atom. The energy above the most stable polymorph in this dataset is 160 meV/atom.


No. 11
Computed, not measured: crystalline Nd6SiS5 at its relaxed geometry at the PBE-GGA level of DFT.

Lattice parameters (Å, degrees): 7.111 12.323 7.142 90.00 109.32 90.00
Space group C2/m (No. 12)
Asymmetric unit:
Nd 0.248 0.165 0.248 x8
Nd 0.249 0.000 0.754 x4
Si 0.000 0.000 0.000 x2
S 0.000 0.166 0.500 x4
S 0.000 0.333 0.000 x4
S 0.000 0.500 0.500 x2

The total energy comes out at -153.45 eV per cell.


No. 12
Computed, not measured: crystalline Er8Tm6Pb at its relaxed geometry at the PBE-GGA level of DFT.

Lattice parameters (Å, degrees): 9.0683 9.0683 6.6687 90.00 90.00 120.00
Space group P-3 (No. 147)
Asymmetric unit:
Er 0.0190 0.3348 0.3918 x6
Er 0.3333 0.6667 0.6995 x2
Tm 0.0788 0.6815 0.1021 x6
Pb 0.0000 0.0000 0.0000 x1

The total energy comes out at -64.15 eV per cell. The calculation puts the formation energy at 193 meV/atom.


No. 13
Computed, not measured: crystalline TbCeTlGa at its relaxed geometry at the PBE-GGA level of DFT.

Lattice parameters (Å, degrees): 7.498 7.498 7.498 90.00 90.00 90.00
Space group F-43m (No. 216)
Asymmetric unit:
Tb 0.000 0.000 0.000 x4
Ce 0.000 0.000 0.500 x4
Tl 0.250 0.250 0.750 x4
Ga 0.250 0.250 0.250 x4

The total energy comes out at -69.69 eV per cell. The calculation puts the formation energy at -366 meV/atom. The energy above the most stable polymorph in this dataset is 46 meV/atom.


No. 14
Computed, not measured: crystalline TcN at its relaxed geometry at the PBE-GGA level of DFT.

Lattice parameters (Å, degrees): 2.722 2.722 6.120 90.00 90.00 90.00
Space group P4_2/mmc (No. 131)
Asymmetric unit:
Tc 0.000 0.500 0.000 x2
N 0.000 0.000 0.250 x2

The total energy comes out at -35.91 eV per cell. The energy above the most stable polymorph in this dataset is 364 meV/atom.


No. 15
Computed, not measured: crystalline Nd8Co2Pt at its relaxed geometry at the PBE-GGA level of DFT.

Lattice parameters (Å, degrees): 8.279 12.603 6.448 90.00 108.52 90.00
Space group Cm (No. 8)
Asymmetric unit:
Nd 0.000 0.000 0.000 x2
Nd 0.072 0.365 0.805 x4
Nd 0.141 0.137 0.578 x4
Nd 0.221 0.500 0.395 x2
Nd 0.352 0.208 0.190 x4
Co 0.360 0.313 0.701 x4
Pt 0.364 0.000 0.396 x2

The total energy comes out at -120.11 eV per cell. The calculation puts the formation energy at -151 meV/atom.


No. 16
Computed, not measured: crystalline LiSnB at its relaxed geometry at the PBE-GGA level of DFT.

Lattice parameters (Å, degrees): 3.507 20.649 3.122 90.00 90.00 90.00
Space group Cmcm (No. 63)
Asymmetric unit:
Li 0.000 0.065 0.250 x4
Sn 0.000 0.306 0.750 x4
B 0.000 0.500 0.000 x4

The total energy comes out at -49.82 eV per cell. The calculation puts the formation energy at 46 meV/atom. The energy above the most stable polymorph in this dataset is 136 meV/atom.


No. 17
Computed, not measured: crystalline NdErCdSi at its relaxed geometry at the PBE-GGA level of DFT.

Lattice parameters (Å, degrees): 7.306 7.306 7.306 90.00 90.00 90.00
Space group F-43m (No. 216)
Asymmetric unit:
Nd 0.000 0.000 0.000 x4
Er 0.000 0.000 0.500 x4
Cd 0.250 0.250 0.250 x4
Si 0.250 0.250 0.750 x4

The total energy comes out at -68.61 eV per cell.


No. 18
Computed, not measured: crystalline LuCd4Ga at its relaxed geometry at the PBE-GGA level of DFT.

Lattice parameters (Å, degrees): 8.271 8.271 8.271 90.00 90.00 90.00
Space group F-43m (No. 216)
Asymmetric unit:
Lu 0.000 0.000 0.000 x4
Cd 0.125 0.125 0.375 x16
Ga 0.250 0.250 0.750 x4

The total energy comes out at -45.33 eV per cell. The calculation puts the formation energy at -21 meV/atom.


No. 19
Computed, not measured: crystalline ErTiCoPd at its relaxed geometry at the PBE-GGA level of DFT.

Lattice parameters (Å, degrees): 6.499 6.499 6.499 90.00 90.00 90.00
Space group F-43m (No. 216)
Asymmetric unit:
Er 0.000 0.000 0.000 x4
Ti 0.000 0.000 0.500 x4
Co 0.250 0.250 0.250 x4
Pd 0.250 0.250 0.750 x4

The total energy comes out at -104.69 eV per cell. The calculation puts the formation energy at -354 meV/atom.


No. 20
Computed, not measured: crystalline AcTbTeS2 at its relaxed geometry at the PBE-GGA level of DFT.

Lattice parameters (Å, degrees): 6.555 14.400 6.543 90.00 90.00 90.00
Space group Cmcm (No. 63)
Asymmetric unit:
Ac 0.000 0.123 0.250 x4
Tb 0.000 0.411 0.250 x4
Te 0.000 0.250 0.750 x4
S 0.250 0.000 0.000 x8

The total energy comes out at -114.96 eV per cell.